## BeVF (GGA+U)

Data for crystalline BeVF at its relaxed geometry. Values from VASP.

Properties
DOS(E_F) = 0.3631 states/eV per atom
Symmetry = Amm2 (38)
M_tot = 5.97 μB/cell
Electronic total energy = -28.727 eV for the cell shown

Geometry as Quantum ESPRESSO input:
```
&SYSTEM
  ibrav = 0, nat = 6, ntyp = 3
/
ATOMIC_SPECIES
Be 9.01 Be.upf
F 19.00 F.upf
V 50.94 V.upf
ATOMIC_POSITIONS angstrom
Be -0.119 0.993 -0.787
F -5.026 -1.234 -3.010
V -1.369 -1.169 -1.443
Be -5.864 -2.601 -2.567
V -10.348 -4.049 -3.716
F -7.022 -1.874 -3.516
CELL_PARAMETERS angstrom
-0.319 2.094 -1.394
1.109 -2.323 -1.436
-12.593 -4.040 -3.188
```